## a
Crystalline Y2RuCl at its relaxed geometry. Source: Alexandria via LeMat-Bulk, functional GGA-PBE.

abc: 5.718 5.718 4.697
angles: 90.01 90.01 34.84
Sites, in units of the cell vectors:
Ru 0.262 0.262 0.125
Cl 0.486 0.486 0.625
Y 0.010 0.010 0.125
Y 0.742 0.742 0.625



## b
Crystalline Y2RuCl at its relaxed geometry. Source: Alexandria via LeMat-Bulk, functional GGA-PBE.

abc: 6.366 6.366 6.366
angles: 144.10 144.10 51.67
Sites, in units of the cell vectors:
Cl 0.500 0.500 0.000
Y 0.250 0.750 0.500
Y 0.000 0.000 0.000
Ru 0.750 0.250 0.500



## c
Crystalline Y2RuCl at its relaxed geometry. Source: Alexandria via LeMat-Bulk, functional GGA-PBE.

abc: 7.757 7.757 7.757
angles: 29.49 29.49 29.49
Sites, in units of the cell vectors:
Y 0.485 0.485 0.485
Y 0.015 0.015 0.015
Ru 0.750 0.750 0.750
Cl 0.250 0.250 0.250



## d
Crystalline Y2RuCl at its relaxed geometry. Source: Alexandria via LeMat-Bulk, functional GGA-PBE.

abc: 6.124 6.124 7.781
angles: 66.83 66.83 90.00
Sites, in units of the cell vectors:
Ru 0.000 0.000 0.000
Ru 0.750 0.250 0.500
Y 0.375 0.342 0.750
Y 0.875 0.908 0.750
Y 0.658 0.125 0.250
Y 0.092 0.625 0.250
Cl 0.500 0.500 0.000
Cl 0.250 0.750 0.500



Looking at the structures above, c is most stable, and the difference to the next one is 14.6 kJ/mol of atoms.